No. 1
Compound: CrCdSiRh2
Source: Alexandria via LeMat-Bulk
Functional: PBE
Structure: optimized geometry

Geometry as CIF:
```
data_CrCdSiRh2
_chemical_formula_sum 'Cr1 Cd1 Si1 Rh2'
_cell_length_a 4.523
_cell_length_b 4.427
_cell_length_c 4.523
_cell_angle_alpha 90.00
_cell_angle_beta 90.00
_cell_angle_gamma 90.00
_symmetry_space_group_name_H-M 'P 1'
_symmetry_Int_Tables_number 1
loop_
_symmetry_equiv_pos_as_xyz
'x,y,z'
loop_
_atom_site_label
_atom_site_type_symbol
_atom_site_fract_x
_atom_site_fract_y
_atom_site_fract_z
Rh1 Rh 0.500 0.000 0.000
Cd1 Cd 0.500 0.500 0.500
Si1 Si 0.000 0.500 0.000
Rh2 Rh 0.000 0.000 0.500
Cr1 Cr 0.000 0.000 0.000
```

Calculated values
Formation energy from raw total energies ... 650 meV/atom
Raw total energy ... -27.412 eV per cell
Magnetic moment ... 0.0 μB per cell



No. 2
Compound: NaZn3B
Source: Alexandria via LeMat-Bulk
Functional: PBE
Structure: optimized geometry

Geometry as CIF:
```
data_NaZn3B
_chemical_formula_sum 'Na1 Zn3 B1'
_cell_length_a 5.154
_cell_length_b 5.154
_cell_length_c 5.154
_cell_angle_alpha 90.00
_cell_angle_beta 90.00
_cell_angle_gamma 90.00
_symmetry_space_group_name_H-M 'P 1'
_symmetry_Int_Tables_number 1
loop_
_symmetry_equiv_pos_as_xyz
'x,y,z'
loop_
_atom_site_label
_atom_site_type_symbol
_atom_site_fract_x
_atom_site_fract_y
_atom_site_fract_z
Na1 Na 0.000 0.000 0.000
Zn1 Zn 0.000 0.000 0.500
Zn2 Zn 0.000 0.500 0.000
Zn3 Zn 0.500 0.000 0.000
B1 B 0.500 0.500 0.500
```

Calculated values
Raw total energy ... -3.617 eV per cell
Magnetic moment ... 0.5 μB per cell



No. 3
Compound: PuNbN
Source: Alexandria via LeMat-Bulk
Functional: PBE
Structure: optimized geometry

Geometry as CIF:
```
data_PuNbN
_chemical_formula_sum 'Pu3 Nb3 N3'
_cell_length_a 6.133
_cell_length_b 6.133
_cell_length_c 4.398
_cell_angle_alpha 90.00
_cell_angle_beta 90.00
_cell_angle_gamma 120.00
_symmetry_space_group_name_H-M 'P 1'
_symmetry_Int_Tables_number 1
loop_
_symmetry_equiv_pos_as_xyz
'x,y,z'
loop_
_atom_site_label
_atom_site_type_symbol
_atom_site_fract_x
_atom_site_fract_y
_atom_site_fract_z
Pu1 Pu 0.435 0.565 0.167
N1 N 0.126 0.252 0.833
Pu2 Pu 0.131 0.565 0.500
Nb1 Nb 0.292 0.146 0.500
Nb2 Nb 0.854 0.708 0.833
N2 N 0.748 0.874 0.500
N3 N 0.126 0.874 0.167
Nb3 Nb 0.854 0.146 0.167
Pu3 Pu 0.435 0.869 0.833
```

Calculated values
Formation energy from raw total energies ... 159 meV/atom
Raw total energy ... -96.755 eV per cell
Magnetic moment ... 3.1 μB per cell



In states/eV per cell, the DOS(E_F) values for the records above are, in order, 4.37 4.18 14.89.